# 1
Density functional theory data (GGA-PBE) for crystalline Sr5Sb2N at its relaxed geometry.

abc: 6.245 8.078 14.430
angles: 90.00 90.00 112.74
Fractional coordinates of all 16 atoms:
Sb: 0.845 0.689 0.428
Sr: 0.941 0.882 0.872
Sr: 0.699 0.399 0.888
Sr: 0.707 0.414 0.250
Sr: 0.059 0.118 0.128
Sr: 0.301 0.601 0.388
Sr: 0.699 0.399 0.612
Sr: 0.293 0.586 0.750
Sb: 0.155 0.311 0.572
Sr: 0.941 0.882 0.628
Sb: 0.845 0.689 0.072
Sb: 0.155 0.311 0.928
Sr: 0.301 0.601 0.112
N: 0.816 0.633 0.750
Sr: 0.059 0.118 0.372
N: 0.184 0.367 0.250

Crystal system: orthorhombic
Raw formation energy: -0.66 eV per atom

# 2
Density functional theory data (GGA-PBE) for crystalline Sr2SbN3 at its relaxed geometry.

abc: 6.571 6.571 12.462
angles: 90.00 90.00 126.17
Fractional coordinates of all 24 atoms:
N: 0.566 0.934 0.750
Sr: 0.960 0.040 0.356
Sr: 0.367 0.633 0.576
N: 0.153 0.847 0.470
Sr: 0.633 0.367 0.424
Sr: 0.460 0.540 0.144
Sb: 0.746 0.254 0.660
Sr: 0.133 0.867 0.076
N: 0.847 0.153 0.530
Sr: 0.040 0.960 0.644
N: 0.424 0.576 0.358
N: 0.934 0.566 0.250
N: 0.653 0.347 0.030
N: 0.066 0.434 0.750
N: 0.924 0.076 0.142
N: 0.347 0.653 0.970
N: 0.076 0.924 0.858
Sr: 0.540 0.460 0.856
Sr: 0.867 0.133 0.924
N: 0.434 0.066 0.250
N: 0.576 0.424 0.642
Sb: 0.754 0.246 0.160
Sb: 0.246 0.754 0.840
Sb: 0.254 0.746 0.340

Crystal system: orthorhombic
Raw formation energy: -0.39 eV per atom

# 3
Density functional theory data (GGA-PBE) for crystalline Sr4Sb2N at its relaxed geometry.

abc: 7.204 7.142 10.140
angles: 90.00 113.43 90.00
Fractional coordinates of all 14 atoms:
Sr: 0.964 0.250 0.662
Sr: 0.908 0.250 0.062
Sb: 0.196 0.250 0.424
N: 0.228 0.750 0.194
Sb: 0.804 0.750 0.576
Sb: 0.603 0.750 0.019
Sr: 0.527 0.490 0.721
Sr: 0.036 0.750 0.338
Sr: 0.092 0.750 0.938
Sr: 0.473 0.990 0.279
Sb: 0.397 0.250 0.981
Sr: 0.473 0.510 0.279
N: 0.772 0.250 0.806
Sr: 0.527 0.010 0.721

Crystal system: monoclinic
Raw formation energy: -0.80 eV per atom

# 4
Density functional theory data (GGA-PBE) for crystalline Sr8SbN4 at its relaxed geometry.

abc: 8.180 8.180 8.180
angles: 60.00 60.00 60.00
Fractional coordinates of all 13 atoms:
N: 0.372 0.372 0.883
N: 0.372 0.883 0.372
Sr: 0.601 0.601 0.196
Sr: 0.196 0.601 0.601
Sb: 0.750 0.750 0.750
Sr: 0.601 0.196 0.601
Sr: 0.143 0.143 0.143
N: 0.372 0.372 0.372
Sr: 0.143 0.143 0.572
Sr: 0.601 0.601 0.601
Sr: 0.143 0.572 0.143
Sr: 0.572 0.143 0.143
N: 0.883 0.372 0.372

Crystal system: cubic
Raw formation energy: -0.53 eV per atom

# 5
Density functional theory data (GGA-PBE) for crystalline SrSb2TeN at its relaxed geometry.

abc: 6.177 6.177 6.077
angles: 90.00 90.00 90.00
Fractional coordinates of all 5 atoms:
N: 0.500 0.500 0.500
Sb: 0.500 0.000 0.000
Te: 0.000 0.000 0.500
Sb: 0.000 0.500 0.000
Sr: 0.000 0.000 0.000

Crystal system: tetragonal
Raw formation energy: 1.70 eV per atom

# 6
Density functional theory data (GGA-PBE) for crystalline Sr4SbTeN at its relaxed geometry.

abc: 7.256 7.257 9.222
angles: 90.00 113.17 90.00
Fractional coordinates of all 14 atoms:
N: 0.247 0.750 0.494
Sr: 0.500 0.500 0.500
Sr: 0.000 0.000 0.500
Sr: 0.094 0.750 0.189
Sr: 0.588 0.250 0.177
Te: 0.892 0.750 0.783
Sr: 0.906 0.250 0.811
Sb: 0.390 0.250 0.780
Te: 0.108 0.250 0.217
Sr: 0.500 0.000 0.500
Sr: 0.000 0.500 0.500
N: 0.753 0.250 0.506
Sb: 0.610 0.750 0.220
Sr: 0.412 0.750 0.823

Crystal system: orthorhombic
Raw formation energy: -1.14 eV per atom

# 7
Density functional theory data (GGA-PBE) for crystalline SrSbTeN2 at its relaxed geometry.

abc: 4.360 4.360 5.978
angles: 90.00 90.00 90.00
Fractional coordinates of all 5 atoms:
N: 0.500 0.000 0.000
N: 0.000 0.500 0.000
Sb: 0.000 0.000 0.000
Sr: 0.500 0.500 0.500
Te: 0.000 0.000 0.500

Crystal system: tetragonal
Raw formation energy: 0.55 eV per atom

# 8
Density functional theory data (GGA-PBE) for crystalline SrSb2TeN at its relaxed geometry.

abc: 4.856 4.856 5.187
angles: 90.00 90.00 90.00
Fractional coordinates of all 5 atoms:
Sb: 0.500 0.000 0.000
N: 0.000 0.000 0.000
Sr: 0.500 0.500 0.500
Sb: 0.000 0.500 0.000
Te: 0.000 0.000 0.500

Crystal system: tetragonal
Raw formation energy: 0.09 eV per atom

# 9
Density functional theory data (GGA-PBE) for crystalline SrSbW2N at its relaxed geometry.

abc: 5.245 4.360 5.245
angles: 90.00 90.00 90.00
Fractional coordinates of all 5 atoms:
Sb: 0.000 0.000 0.000
N: 0.000 0.500 0.000
Sr: 0.500 0.500 0.500
W: 0.000 0.000 0.500
W: 0.500 0.000 0.000

Crystal system: tetragonal
Raw formation energy: 2.16 eV per atom

# 10
Density functional theory data (GGA-PBE) for crystalline SrY2SbN at its relaxed geometry.

abc: 4.798 4.798 5.228
angles: 90.00 90.00 90.00
Fractional coordinates of all 5 atoms:
Y: 0.500 0.000 0.000
Y: 0.000 0.500 0.000
Sr: 0.000 0.000 0.500
Sb: 0.500 0.500 0.500
N: 0.000 0.000 0.000

Crystal system: tetragonal
Raw formation energy: -0.94 eV per atom

# 11
Density functional theory data (GGA-PBE) for crystalline Sr2Y4Sb3N2 at its relaxed geometry.

abc: 4.760 4.760 13.338
angles: 100.28 100.28 90.00
Fractional coordinates of all 11 atoms:
Y: 0.418 0.918 0.836
Sb: 0.171 0.171 0.342
Sr: 0.693 0.693 0.387
Sb: 0.000 0.000 0.000
N: 0.592 0.592 0.183
N: 0.408 0.408 0.817
Sb: 0.829 0.829 0.658
Y: 0.082 0.582 0.164
Y: 0.918 0.418 0.836
Y: 0.582 0.082 0.164
Sr: 0.307 0.307 0.613

Crystal system: tetragonal
Raw formation energy: -1.21 eV per atom

# 12
Density functional theory data (GGA-PBE) for crystalline Sr2ZnSbN at its relaxed geometry.

abc: 5.492 5.492 4.000
angles: 90.00 90.00 90.00
Fractional coordinates of all 5 atoms:
Sb: 0.500 0.500 0.500
Sr: 0.000 0.500 0.000
Sr: 0.500 0.000 0.000
Zn: 0.000 0.000 0.500
N: 0.000 0.000 0.000

Crystal system: tetragonal
Raw formation energy: -0.64 eV per atom

# 13
Density functional theory data (GGA-PBE) for crystalline SrZnSbN2 at its relaxed geometry.

abc: 4.380 4.949 4.380
angles: 90.00 90.00 90.00
Fractional coordinates of all 5 atoms:
N: 0.500 0.000 0.000
N: 0.000 0.000 0.500
Sb: 0.000 0.000 0.000
Zn: 0.000 0.500 0.000
Sr: 0.500 0.500 0.500

Crystal system: tetragonal
Raw formation energy: 0.72 eV per atom

# 14
Density functional theory data (GGA-PBE) for crystalline Sr2ZnSbN at its relaxed geometry.

abc: 4.225 7.159 8.911
angles: 108.53 90.00 90.00
Fractional coordinates of all 10 atoms:
Sb: 0.250 0.682 0.302
Sr: 0.750 0.811 0.632
Zn: 0.250 0.551 0.759
Sr: 0.250 0.189 0.368
Zn: 0.750 0.449 0.241
N: 0.750 0.166 0.168
N: 0.250 0.834 0.832
Sb: 0.750 0.318 0.698
Sr: 0.750 0.805 0.032
Sr: 0.250 0.195 0.968

Crystal system: monoclinic
Raw formation energy: -0.75 eV per atom

# 15
Density functional theory data (GGA-PBE) for crystalline TaSb3N at its relaxed geometry.

abc: 4.631 4.631 4.631
angles: 90.00 90.00 90.00
Fractional coordinates of all 5 atoms:
Ta: 0.500 0.500 0.500
Sb: 0.500 0.000 0.000
Sb: 0.000 0.000 0.500
N: 0.000 0.000 0.000
Sb: 0.000 0.500 0.000

Crystal system: cubic
Raw formation energy: 0.75 eV per atom

# 16
Density functional theory data (GGA-PBE) for crystalline Ta2SbN at its relaxed geometry.

abc: 4.494 4.494 4.494
angles: 60.00 60.00 60.00
Fractional coordinates of all 4 atoms:
N: 0.000 0.000 0.000
Sb: 0.500 0.500 0.500
Ta: 0.250 0.250 0.250
Ta: 0.750 0.750 0.750

Crystal system: cubic
Raw formation energy: 0.70 eV per atom

# 17
Density functional theory data (GGA-PBE) for crystalline TaSbN2 at its relaxed geometry.

abc: 5.461 5.461 6.087
angles: 63.35 63.35 90.00
Fractional coordinates of all 8 atoms:
N: 0.013 0.625 0.250
Ta: 0.000 0.000 0.000
Sb: 0.250 0.750 0.500
N: 0.737 0.125 0.250
Sb: 0.500 0.500 0.000
Ta: 0.750 0.250 0.500
N: 0.375 0.263 0.750
N: 0.875 0.987 0.750

Crystal system: tetragonal
Raw formation energy: -0.13 eV per atom

# 18
Density functional theory data (GGA-PBE) for crystalline TaSbN2 at its relaxed geometry.

abc: 7.065 7.065 7.065
angles: 25.98 25.98 25.98
Fractional coordinates of all 4 atoms:
N: 0.886 0.886 0.886
Ta: 0.500 0.500 0.500
N: 0.114 0.114 0.114
Sb: 0.000 0.000 0.000

Crystal system: trigonal
Raw formation energy: -0.47 eV per atom

# 19
Density functional theory data (GGA-PBE) for crystalline TaSb3N at its relaxed geometry.

abc: 5.346 5.346 5.346
angles: 90.00 90.00 90.00
Fractional coordinates of all 5 atoms:
Sb: 0.000 0.500 0.000
Sb: 0.500 0.000 0.000
N: 0.500 0.500 0.500
Sb: 0.000 0.000 0.500
Ta: 0.000 0.000 0.000

Crystal system: cubic
Raw formation energy: 1.32 eV per atom

# 20
Density functional theory data (GGA-PBE) for crystalline TaSbN at its relaxed geometry.

abc: 3.473 3.517 11.711
angles: 107.96 90.00 119.59
Fractional coordinates of all 6 atoms:
N: 0.093 0.185 0.891
N: 0.907 0.815 0.109
Sb: 0.354 0.708 0.367
Ta: 0.230 0.459 0.096
Sb: 0.646 0.292 0.633
Ta: 0.770 0.541 0.904

Crystal system: monoclinic
Raw formation energy: -0.41 eV per atom

# 21
Density functional theory data (GGA-PBE) for crystalline Ta2SbN at its relaxed geometry.

abc: 5.258 5.258 6.913
angles: 67.65 67.65 90.00
Fractional coordinates of all 8 atoms:
Ta: 0.262 0.625 0.250
Sb: 0.000 0.000 0.000
Ta: 0.375 0.512 0.750
N: 0.250 0.750 0.500
N: 0.500 0.500 0.000
Ta: 0.488 0.125 0.250
Sb: 0.750 0.250 0.500
Ta: 0.875 0.738 0.750

Crystal system: tetragonal
Raw formation energy: -0.02 eV per atom

# 22
Density functional theory data (GGA-PBE) for crystalline TaSb2TeN at its relaxed geometry.

abc: 5.324 5.324 5.244
angles: 90.00 90.00 90.00
Fractional coordinates of all 5 atoms:
Ta: 0.000 0.000 0.000
Te: 0.000 0.000 0.500
Sb: 0.000 0.500 0.000
Sb: 0.500 0.000 0.000
N: 0.500 0.500 0.500

Crystal system: tetragonal
Raw formation energy: 1.53 eV per atom

# 23
Density functional theory data (GGA-PBE) for crystalline TaSb2TeN at its relaxed geometry.

abc: 4.680 4.680 4.570
angles: 90.00 90.00 90.00
Fractional coordinates of all 5 atoms:
Sb: 0.500 0.000 0.000
Te: 0.000 0.000 0.500
N: 0.000 0.000 0.000
Ta: 0.500 0.500 0.500
Sb: 0.000 0.500 0.000

Crystal system: tetragonal
Raw formation energy: 0.83 eV per atom

# 24
Density functional theory data (GGA-PBE) for crystalline Ta2TiSbN at its relaxed geometry.

abc: 4.696 4.966 4.696
angles: 90.00 90.00 90.00
Fractional coordinates of all 5 atoms:
Ti: 0.000 0.000 0.000
Sb: 0.000 0.500 0.000
Ta: 0.500 0.000 0.000
N: 0.500 0.500 0.500
Ta: 0.000 0.000 0.500

Crystal system: tetragonal
Raw formation energy: 2.22 eV per atom

# 25
Density functional theory data (GGA-PBE) for crystalline TaTiSbN2 at its relaxed geometry.

abc: 4.081 5.210 4.081
angles: 90.00 90.00 90.00
Fractional coordinates of all 5 atoms:
Ta: 0.500 0.500 0.500
N: 0.500 0.000 0.000
Sb: 0.000 0.000 0.000
Ti: 0.000 0.500 0.000
N: 0.000 0.000 0.500

Crystal system: tetragonal
Raw formation energy: 1.88 eV per atom

Number 1: raw total energy -3.7786 eV per atom, M_tot 0.88 μB/f.u.. Number 2: raw total energy -5.8035 eV per atom, M_tot 0.00 μB/f.u.. Number 3: raw total energy -4.1238 eV per atom, M_tot 0.00 μB/f.u.. Number 4: raw total energy -4.4394 eV per atom, M_tot 0.96 μB/f.u.. Number 5: raw total energy -2.5821 eV per atom, M_tot 1.08 μB/f.u.. Number 6: raw total energy -4.3278 eV per atom, M_tot 0.00 μB/f.u.. Number 7: raw total energy -4.5708 eV per atom, M_tot 1.37 μB/f.u.. Number 8: raw total energy -4.1872 eV per atom, M_tot 0.00 μB/f.u.. Number 9: raw total energy -5.8499 eV per atom, M_tot 3.72 μB/f.u.. Number 10: raw total energy -6.3478 eV per atom, M_tot 0.00 μB/f.u.. Number 11: raw total energy -6.5027 eV per atom, M_tot 0.00 μB/f.u.. Number 12: raw total energy -4.0569 eV per atom, M_tot 0.00 μB/f.u.. Number 13: raw total energy -4.0260 eV per atom, M_tot 0.00 μB/f.u.. Number 14: raw total energy -4.1654 eV per atom, M_tot 0.00 μB/f.u.. Number 15: raw total energy -5.7549 eV per atom, M_tot 0.02 μB/f.u.. Number 16: raw total energy -8.3426 eV per atom, M_tot 0.00 μB/f.u.. Number 17: raw total energy -8.2893 eV per atom, M_tot 0.00 μB/f.u.. Number 18: raw total energy -8.6242 eV per atom, M_tot 0.00 μB/f.u.. Number 19: raw total energy -5.1934 eV per atom, M_tot 2.01 μB/f.u.. Number 20: raw total energy -8.5123 eV per atom, M_tot 0.00 μB/f.u.. Number 21: raw total energy -9.0576 eV per atom, M_tot 0.00 μB/f.u.. Number 22: raw total energy -4.7822 eV per atom, M_tot 0.00 μB/f.u.. Number 23: raw total energy -5.4853 eV per atom, M_tot 0.58 μB/f.u.. Number 24: raw total energy -6.5903 eV per atom, M_tot 0.01 μB/f.u.. Number 25: raw total energy -6.2206 eV per atom, M_tot 0.00 μB/f.u..